# 1
VASP calculation (PBEsol) on a geometry-optimized Co29O40 structure.

Structure (extended XYZ):
```
69
Lattice="-6.299 6.299 3.986 6.299 -6.299 3.986 6.299 6.299 -3.986" Properties=species:S:1:pos:R:3 pbc="T T T"
Co 0.000 0.000 0.000
Co 4.403 -3.786 2.976
Co 7.564 -0.633 0.981
Co 4.410 2.502 -0.984
Co 2.516 -1.257 1.991
Co 5.035 0.633 0.981
Co 7.549 2.494 -0.016
Co 5.667 5.036 -0.995
Co 2.514 1.897 1.009
Co 5.666 -1.265 3.005
Co 3.784 7.557 -1.995
Co -0.014 3.168 0.991
Co 2.494 5.050 0.016
Co 3.797 -1.890 4.970
Co 0.632 1.264 2.991
Co 6.933 1.265 3.005
Co 5.042 3.784 1.995
Co 1.264 -0.632 4.981
Co 3.805 1.250 4.002
Co 1.897 10.085 -1.009
Co 5.036 6.931 0.995
Co 1.890 3.797 3.002
Co 2.502 8.189 0.984
Co -1.250 3.805 3.970
Co 0.014 9.431 0.991
Co 3.131 6.286 2.995
Co -3.131 6.313 2.995
Co 1.257 2.516 5.981
Co 3.786 4.403 4.995
O 8.935 1.824 -1.104
O 5.607 4.922 -2.887
O 2.629 1.835 -0.889
O 5.734 -1.131 1.083
O 9.397 -0.126 0.909
O 6.175 3.206 -1.095
O 3.201 0.126 0.909
O 6.173 -3.098 3.077
O 3.893 4.360 -1.081
O 6.864 1.131 1.083
O 3.893 -1.957 3.072
O 0.693 1.377 1.099
O 4.343 2.406 0.914
O 7.430 -0.565 2.903
O 4.464 -3.670 4.875
O 1.137 -0.570 3.085
O 5.168 0.565 2.903
O 1.824 3.663 1.104
O 5.162 6.870 -0.901
O 8.239 3.893 1.081
O -0.719 4.868 0.857
O 2.406 1.939 2.905
O 5.729 5.162 0.901
O 2.406 8.256 -0.914
O 0.124 3.093 2.891
O 3.093 -0.124 5.081
O 6.426 3.098 3.077
O 3.206 6.423 1.095
O 0.570 1.137 4.886
O -2.636 4.475 2.882
O 0.719 7.730 0.857
O 3.670 4.464 3.097
O 1.377 -0.693 6.873
O -1.939 2.406 5.067
O 1.431 5.581 3.129
O 4.475 2.636 5.089
O 1.835 9.969 0.889
O 4.922 6.992 2.887
O 1.957 3.893 4.900
O -1.431 7.018 3.129
```

Values from the calculation:
SG: I-4
ΔE_f (raw): -1.0225 eV/atom
total magnetic moment: 29.64 μB/f.u.

***

# 2
VASP calculation (PBEsol) on a geometry-optimized CoO structure.

Structure (extended XYZ):
```
4
Lattice="2.868 0.000 0.000 -1.434 2.484 0.000 0.000 0.000 5.570" Properties=species:S:1:pos:R:3 pbc="T T T"
Co 0.000 1.656 0.000
Co 1.434 0.828 2.785
O 0.000 1.656 3.707
O 1.434 0.828 0.922
```

Values from the calculation:
SG: P6_3mc
ΔE_f (raw): -0.6035 eV/atom
total magnetic moment: 1.79 μB/f.u.

***

# 3
VASP calculation (PBEsol) on a geometry-optimized CoO2 structure.

Structure (extended XYZ):
```
24
Lattice="8.112 0.000 0.000 0.000 2.802 0.000 0.000 0.000 9.841" Properties=species:S:1:pos:R:3 pbc="T T T"
Co 0.449 0.701 1.150
Co 0.693 0.701 5.953
Co 3.363 2.102 1.033
Co 3.607 2.102 6.071
Co 4.505 0.701 3.770
Co 4.749 0.701 8.809
Co 7.419 2.102 3.888
Co 7.663 2.102 8.691
O 0.239 2.102 7.014
O 0.688 0.701 9.160
O 0.954 2.102 4.750
O 1.592 2.102 1.483
O 2.464 0.701 6.404
O 3.102 0.701 9.671
O 3.368 2.102 4.239
O 3.817 0.701 2.093
O 4.295 2.102 7.748
O 4.744 0.701 5.602
O 5.010 2.102 0.171
O 5.648 2.102 3.437
O 6.520 0.701 8.358
O 7.158 0.701 5.091
O 7.424 2.102 0.682
O 7.873 0.701 2.827
```

Values from the calculation:
SG: Pnma
ΔE_f (raw): -0.9400 eV/atom
total magnetic moment: 0.15 μB/f.u.